# Nb2HPdPt

Crystalline Nb2HPdPt at its relaxed geometry (PBE, the Alexandria database).

The calculation puts the theoretical density at 11.827 g/cm3. For the raw total energy, the calculation gives -7.29 eV per atom. The calculation puts the total magnetic moment at 0.00 Bohr magnetons per cell. Its relative energy among the computed polymorphs is 49 meV/atom. As for the volume: 69 Å³/f.u.

Cell lengths 4.0913, 4.0913, 4.0961 Å; angles 90.00, 90.00, 90.00 degrees
Space group P4/mmm (No. 123)
Unique sites:
1 Nb 0.0000 0.5000 0.0000 x2
2 H 0.0000 0.0000 0.0000 x1
3 Pd 0.5000 0.5000 0.5000 x1
4 Pt 0.0000 0.0000 0.5000 x1


# Sr2Ga9Pd6

Crystalline Sr2Ga9Pd6 at its relaxed geometry (PBE, the Alexandria database).

The calculation puts the theoretical density at 7.075 g/cm3. For the raw total energy, the calculation gives -4.13 eV per atom. The calculation puts the total magnetic moment at 0.00 Bohr magnetons per cell. The calculation puts the formation energy at -0.4947 eV per atom. As for the volume: 338 Å³/f.u.

Cell lengths 5.5742, 5.5742, 12.5716 Å; angles 90.00, 90.00, 120.00 degrees
Space group P6/mmm (No. 191)
Unique sites:
1 Sr 0.0000 0.0000 0.1646 x2
2 Ga 0.0000 0.5000 0.0000 x3
3 Ga 0.0000 0.5000 0.3394 x6
4 Pd 0.3333 0.6667 0.1732 x4
5 Pd 0.3333 0.6667 0.5000 x2


Q: Which formula does entry 2 have?
A: Sr2Ga9Pd6